Entry 1:
A plane-wave DFT calculation with PBE was carried out for a geometry-optimized TeAu2N2 structure.

Summary:
The symmetry is No. 139. For the formation energy (no corrections), the calculation gives 1.4988 eV/atom.

a = 5.948 Å, b = 5.948 Å, c = 5.948 Å
α = 141.65°, β = 141.65°, γ = 55.35°
Fractional coordinates of all 5 atoms:
Te  0.000  0.000  0.000
Au  0.351  0.351  0.000
Au  0.649  0.649  0.000
N  0.250  0.750  0.500
N  0.750  0.250  0.500


Entry 2:
A plane-wave DFT calculation with PBE was carried out for a geometry-optimized NiSbP structure.

Summary:
The symmetry is No. 216. For the formation energy (no corrections), the calculation gives -0.0093 eV/atom.

a = 4.239 Å, b = 4.239 Å, c = 4.239 Å
α = 60.00°, β = 60.00°, γ = 60.00°
Fractional coordinates of all 3 atoms:
Ni  0.000  0.000  0.000
Sb  0.750  0.750  0.750
P  0.250  0.250  0.250


Entry 3:
A plane-wave DFT calculation with PBE was carried out for a geometry-optimized MgTe2Mo structure.

Summary:
The symmetry is No. 216. For the formation energy (no corrections), the calculation gives 0.6878 eV/atom.

a = 5.116 Å, b = 5.116 Å, c = 5.116 Å
α = 60.00°, β = 60.00°, γ = 60.00°
Fractional coordinates of all 4 atoms:
Mg  0.000  0.000  0.000
Te  0.500  0.500  0.500
Te  0.750  0.750  0.750
Mo  0.250  0.250  0.250


Entry 4:
A plane-wave DFT calculation with PBE was carried out for a geometry-optimized SiSn4As6 structure.

Summary:
The symmetry is No. 9. For the formation energy (no corrections), the calculation gives 0.0131 eV/atom.

a = 7.717 Å, b = 7.717 Å, c = 13.126 Å
α = 109.58°, β = 109.58°, γ = 57.31°
Fractional coordinates of all 22 atoms:
Si  0.233  0.767  0.500
Si  0.767  0.233  0.000
Sn  0.011  0.863  0.749
Sn  0.131  0.378  0.254
Sn  0.330  0.792  0.071
Sn  0.378  0.131  0.754
Sn  0.661  0.823  0.441
Sn  0.792  0.330  0.571
Sn  0.823  0.661  0.941
Sn  0.863  0.011  0.249
As  0.079  0.551  0.464
As  0.086  0.093  0.945
As  0.093  0.086  0.445
As  0.121  0.634  0.133
As  0.356  0.772  0.691
As  0.508  0.999  0.255
As  0.523  0.551  0.409
As  0.551  0.079  0.964
As  0.551  0.523  0.909
As  0.634  0.121  0.633
As  0.772  0.356  0.191
As  0.999  0.508  0.755


Entry 5:
A plane-wave DFT calculation with PBE was carried out for a geometry-optimized TlAs2Pt2 structure.

Summary:
The symmetry is No. 139. The value obtained for the formation energy is -199 meV per atom.

a = 6.741 Å, b = 6.741 Å, c = 6.741 Å
α = 142.12°, β = 142.12°, γ = 54.65°
Fractional coordinates of all 5 atoms:
Tl  0.000  0.000  0.000
As  0.354  0.354  0.000
As  0.646  0.646  0.000
Pt  0.250  0.750  0.500
Pt  0.750  0.250  0.500


Entry 6:
A plane-wave DFT calculation with PBE was carried out for a geometry-optimized Pm4TlGa3 structure.

Summary:
The symmetry is No. 25. The value obtained for the formation energy is -516 meV per atom.

a = 4.248 Å, b = 4.529 Å, c = 11.348 Å
α = 90.00°, β = 90.00°, γ = 90.00°
Fractional coordinates of all 8 atoms:
Pm  0.000  0.000  0.000
Pm  0.000  0.500  0.483
Pm  0.500  0.000  0.708
Pm  0.500  0.500  0.216
Tl  0.000  0.500  0.774
Ga  0.000  0.000  0.281
Ga  0.500  0.000  0.425
Ga  0.500  0.500  0.941


Entry 7:
A plane-wave DFT calculation with PBE was carried out for a geometry-optimized CaCr2Co2 structure.

Summary:
The symmetry is No. 127. The value obtained for the formation energy is 351 meV per atom.

a = 7.316 Å, b = 7.316 Å, c = 2.551 Å
α = 90.00°, β = 90.00°, γ = 90.00°
Fractional coordinates of all 10 atoms:
Ca  0.000  0.000  0.000
Ca  0.500  0.500  0.000
Cr  0.111  0.389  0.000
Cr  0.389  0.889  0.000
Cr  0.611  0.111  0.000
Cr  0.889  0.611  0.000
Co  0.171  0.671  0.500
Co  0.329  0.171  0.500
Co  0.671  0.829  0.500
Co  0.829  0.329  0.500


Entry 8:
A plane-wave DFT calculation with PBE was carried out for a geometry-optimized MgRe2Ag structure.

Summary:
The symmetry is No. 65. The value obtained for the formation energy is 512 meV per atom.

a = 2.671 Å, b = 2.671 Å, c = 9.472 Å
α = 90.00°, β = 90.00°, γ = 107.50°
Fractional coordinates of all 4 atoms:
Mg  0.000  0.000  0.000
Re  0.500  0.500  0.244
Re  0.500  0.500  0.756
Ag  0.000  0.000  0.500